# CrIr2W

A geometry-optimized CrIr2W structure (PBE, Alexandria via LeMat-Bulk).

Computed properties:
Space group ... I4/mmm (139)
D(E_F) ... 3.24 states/eV/cell
Total DFT energy (no corrections) ... -10.32 eV per atom
Formation energy ... -0.24 eV/atom
Polymorph energy (0 for the lowest one) ... 0 meV per atom

```
4
Lattice="-2.5682 3.9399 -0.1676 -2.1340 0.6321 4.1465 4.4946 -0.8508 -1.1055" Properties=species:S:1:pos:R:3 pbc="T T T"
Ir -2.3510 2.2859 1.9894
Ir -0.0001 0.0001 0.0001
W -0.2124 2.6876 0.3582
Cr 0.0047 1.0337 2.5152
```